# 1
Below is a relaxed InSnBi3 crystal, with properties calculated at the PBE level.

Computed properties:
The calculation puts the relative energy among the computed polymorphs at 0 meV per atom. Its formation enthalpy at 0 K is 0.43 eV per formula unit.

Lattice parameters (Å, degrees): 4.314 12.136 12.103 90.00 90.00 90.00
Element x y z (fractional)
1 Sn 0.750 0.998 0.747
2 Bi 0.750 0.643 0.892
3 In 0.750 0.145 0.392
4 Sn 0.750 0.502 0.247
5 Sn 0.250 0.498 0.753
6 Bi 0.250 0.357 0.108
7 Bi 0.250 0.856 0.892
8 Bi 0.250 0.644 0.392
9 In 0.750 0.355 0.892
10 Bi 0.750 0.857 0.392
11 Bi 0.250 0.360 0.388
12 Bi 0.750 0.860 0.112
13 Bi 0.250 0.140 0.888
14 Sn 0.250 0.002 0.253
15 In 0.250 0.855 0.608
16 Bi 0.750 0.144 0.108
17 In 0.250 0.645 0.108
18 Bi 0.750 0.640 0.612
19 Bi 0.750 0.356 0.608
20 Bi 0.250 0.143 0.608

---

# 2
Below is a relaxed In2Sn2Bi crystal, with properties calculated at the PBE level.

Computed properties:
The calculation puts the relative energy among the computed polymorphs at 87 meV per atom. Its formation enthalpy at 0 K is 0.63 eV per formula unit.

Lattice parameters (Å, degrees): 4.311 4.311 8.602 75.49 75.49 90.00
Element x y z (fractional)
1 In 0.750 0.250 0.500
2 In 0.250 0.750 0.500
3 Bi 0.000 0.000 0.000
4 Sn 0.404 0.404 0.193
5 Sn 0.596 0.596 0.807

---

Which electronic total energy belongs to each record? In order, -3.59 -3.35 eV per atom.